# LaGa3Au9

Crystalline LaGa3Au9 at its relaxed geometry (PBE-GGA, Alexandria via LeMat-Bulk).

```
13
Lattice="5.0905 -0.2480 2.0663 2.1896 6.4932 0.8888 -0.0294 -0.1240 7.3759" Properties=species:S:1:pos:R:3 pbc="T T T"
La 0.0000 0.0000 0.0000
Ga 3.6401 3.1226 1.4776
Ga -0.0147 -0.0620 3.6880
Ga 2.5305 -0.1860 4.7211
Au 5.1792 4.8315 7.9004
Au 2.0715 1.2897 2.4306
Au 3.1502 1.1657 7.0768
Au 4.1005 4.9555 3.2542
Au 4.2465 1.9493 4.3526
Au 3.0042 4.1719 5.9784
Au 6.2917 4.0479 5.1828
Au 0.9590 2.0734 5.1482
Au 1.0948 3.2466 0.4444
```

Computed properties:
calculated formation energy	-0.32	eV per atom
mass density	14.188	g cm⁻³
N(E_F)	0.370	states/eV/atom
final energy	-47.61	eV per cell
total magnetization	0.0000	μB/atom